10
Lattice="9.392 -2.058 0.000 9.392 2.058 0.000 -2.247 0.000 8.181" Properties=species:S:1:pos:R:3 comment="La2Pr2BBr3Cl2 | the Open Quantum Materials Database | PBE | relaxed" spacegroup="No. 12" pbc="T T T"
Br 15.243 0.000 1.331
Pr -1.765 0.000 6.424
Br 1.295 0.000 6.850
Cl 2.242 0.000 2.768
La 11.958 0.000 0.771
B 9.392 0.000 0.000
Pr -0.483 0.000 1.757
Br 8.269 0.000 4.090
Cl 14.295 0.000 5.413
La 4.580 0.000 7.410

=====

10
Lattice="9.293 -2.024 0.000 9.293 2.024 0.000 -2.158 0.000 8.023" Properties=species:S:1:pos:R:3 comment="La2Sm2BBr3Cl2 | the Open Quantum Materials Database | PBE | relaxed" spacegroup="No. 12" pbc="T T T"
Br 8.214 0.000 4.011
Cl 2.190 0.000 2.758
Cl 14.238 0.000 5.265
La 11.862 0.000 0.742
La 4.566 0.000 7.281
Sm 16.878 0.000 6.321
B 9.293 0.000 0.000
Br 1.317 0.000 6.617
Br 15.110 0.000 1.405
Sm -0.450 0.000 1.702

=====

10
Lattice="9.248 -2.005 0.000 9.248 2.005 0.000 -1.975 0.000 7.959" Properties=species:S:1:pos:R:3 comment="Nd4BBr2Cl3 | the Open Quantum Materials Database | PBE | relaxed" spacegroup="No. 12" pbc="T T T"
Cl 2.298 0.000 2.671
B 9.248 0.000 0.000
Cl 8.260 0.000 3.979
Nd -1.537 0.000 6.191
Nd -0.439 0.000 1.768
Cl 14.223 0.000 5.288
Nd 4.759 0.000 7.271
Br 1.516 0.000 6.605
Br 15.005 0.000 1.354
Nd 11.762 0.000 0.688

=====

10
Lattice="9.287 -2.013 0.000 9.287 2.013 0.000 -1.968 0.000 7.957" Properties=species:S:1:pos:R:3 comment="Pr2Nd2BBr2Cl3 | the Open Quantum Materials Database | PBE | relaxed" spacegroup="No. 12" pbc="T T T"
B 9.287 0.000 0.000
Nd 18.132 0.000 1.767
Cl 14.326 0.000 5.260
Br 15.079 0.000 1.376
Cl 8.303 0.000 3.979
Br 1.528 0.000 6.581
Nd -1.525 0.000 6.191
Pr 4.786 0.000 7.260
Pr 11.820 0.000 0.697
Cl 2.280 0.000 2.697

=====

no.,DFT total energy (eV per atom)
1,-5.012
2,-5.005
3,-5.020
4,-5.019